Below is LiCeEuSi after structural relaxation, with properties calculated at the PBE level.

Summary:
The calculation puts the total energy at -6.0784 eV/atom. As for the space group: No. 216. The total moment comes out at 8.4 Bohr magnetons per cell. As for the formation energy (no corrections): -192 meV per atom.

The structure in extended XYZ format:
```
4
Lattice="5.1779 0.0000 0.0000 2.5889 4.4842 0.0000 2.5889 1.4947 4.2277" Properties=species:S:1:pos:R:3 pbc="T T T"
Eu 0.0000 0.0000 0.0000
Si 7.7668 4.4842 3.1708
Ce 5.1779 2.9894 2.1139
Li 2.5889 1.4947 1.0569
```

Below is YGeB3 after structural relaxation, with properties calculated at the PBE level.

Summary:
The calculation puts the total energy at -4.0062 eV/atom. The calculation puts the energy relative to the elements at 2.217 eV/atom. As for the space group: No. 221. The total moment comes out at 0.0 Bohr magnetons per cell. Its polymorph energy (0 for the lowest one) is 547 kJ/mol of formula units.

The structure in extended XYZ format:
```
5
Lattice="4.6533 0.0000 0.0000 0.0000 4.6533 0.0000 0.0000 0.0000 4.6533" Properties=species:S:1:pos:R:3 pbc="T T T"
Y 0.0000 0.0000 0.0000
Ge 2.3267 2.3267 2.3267
B 0.0000 2.3267 0.0000
B 0.0000 0.0000 2.3267
B 2.3267 0.0000 0.0000
```

Below is Ba2TcAu after structural relaxation, with properties calculated at the PBE level.

Summary:
The calculation puts the total energy at -3.8514 eV/atom. The calculation puts the energy relative to the elements at 0.521 eV/atom. As for the space group: No. 119. The total moment comes out at 2.3 Bohr magnetons per cell. Its polymorph energy (0 for the lowest one) is 141 kJ/mol of formula units.

The structure in extended XYZ format:
```
4
Lattice="6.4774 0.0020 0.0000 3.0687 5.7044 0.0000 -4.7731 -2.8532 3.3218" Properties=species:S:1:pos:R:3 pbc="T T T"
Au 3.2387 0.0010 1.6609
Ba 0.0000 0.0000 0.0000
Ba 1.5344 2.8522 1.6609
Tc 4.7731 2.8532 0.0000
```

Below is Mg2Ru after structural relaxation, with properties calculated at the PBE level.

Summary:
The calculation puts the total energy at -4.0346 eV/atom. The calculation puts the energy relative to the elements at 0.120 eV/atom. As for the space group: No. 63. The total moment comes out at 0.0 Bohr magnetons per cell.

The structure in extended XYZ format:
```
6
Lattice="-2.6313 4.0248 5.8320 0.0045 -3.0210 -6.9288 -2.1645 -3.8375 1.6718" Properties=species:S:1:pos:R:3 pbc="T T T"
Mg -2.8424 2.1833 4.6522
Mg -2.0431 0.0467 0.7826
Mg -2.7482 -2.8803 -0.2076
Mg -1.9489 -5.0169 -4.0772
Ru -1.1326 -2.3873 -3.6256
Ru -3.6587 -0.4464 4.2005
```